Entry 1:
8
Lattice="6.0756 0.0000 0.0000 0.0000 3.4864 0.0000 -2.0048 0.0000 5.7514" Properties=species:S:1:pos:R:3 comment="Ce2NdZrN4 (GGA-PBE, optimized geometry)" formation_energy_uncorrected_kj_per_mol_atoms=-146.0 pbc="T T T"
Ce 0.0000 0.0000 0.0000
Ce -1.0024 1.7432 2.8757
Nd 2.0354 0.0000 2.8757
Zr 3.0378 1.7432 0.0000
N 1.0799 1.7432 1.3117
N 0.0567 0.0000 4.4418
N 4.0142 0.0000 1.3097
N 2.9909 1.7432 4.4398

---

Entry 2:
16
Lattice="3.8969 -4.0763 0.0000 3.8969 4.0763 0.0000 -1.2319 0.0000 7.9970" Properties=species:S:1:pos:R:3 comment="KCaPO5 (GGA-PBE, optimized geometry)" formation_energy_uncorrected_kj_per_mol_atoms=-196.5 pbc="T T T"
K 3.8969 2.1801 0.0000
K 3.8969 -2.1801 0.0000
Ca 3.2810 2.1485 3.9985
Ca 3.2810 -2.1485 3.9985
P 0.8695 0.0000 5.9527
P 5.6925 0.0000 2.0443
O -0.6293 0.0000 5.4976
O 1.5087 1.2926 5.3529
O 0.9522 0.0000 7.4871
O 2.7005 0.0000 3.0740
O 1.5087 -1.2926 5.3529
O 5.0533 1.2926 2.6441
O 3.8615 0.0000 4.9230
O 5.6099 0.0000 0.5099
O 5.0533 -1.2926 2.6441
O 7.1913 0.0000 2.4993

---

Entry 3:
8
Lattice="-3.4015 3.4015 2.6396 3.4015 -3.4015 2.6396 3.4015 3.4015 -2.6396" Properties=species:S:1:pos:R:3 comment="Co2AgRh (GGA-PBE, optimized geometry)" dft_energy_ev_per_cell=-43.27 pbc="T T T"
Co 5.1022 1.5163 -0.6599
Co 1.5163 1.7007 0.6599
Co -1.7007 1.8852 1.9797
Co 1.8852 1.7007 3.2995
Ag 3.4015 0.0000 1.3198
Ag 0.0000 0.0000 2.6396
Rh 0.0000 0.0000 0.0000
Rh 0.0000 3.4015 1.3198

---

Entry 4:
5
Lattice="5.0820 0.0000 0.0000 0.0000 5.0820 0.0000 0.0000 0.0000 5.0820" Properties=species:S:1:pos:R:3 comment="AsRuBr3 (GGA-PBE, optimized geometry)" de_polymorph_ev_per_atom=0.0000 formation_energy_uncorrected_kj_per_mol_atoms=51.4 pbc="T T T"
As 0.0000 0.0000 0.0000
Ru 2.5410 2.5410 2.5410
Br 0.0000 2.5410 2.5410
Br 2.5410 0.0000 2.5410
Br 2.5410 2.5410 0.0000

---

Entry 5:
12
Lattice="4.3489 0.0000 0.0000 0.3746 6.0122 0.0000 0.3329 0.5053 8.3932" Properties=species:S:1:pos:R:3 comment="BaAgPb2F8 (GGA-PBE, optimized geometry)" formation_energy_uncorrected_kj_per_mol_atoms=-235.4 pbc="T T T"
Ba 0.0000 0.0000 0.0000
Ag 0.1665 0.2527 4.1966
Pb 2.3476 3.0913 2.1545
Pb 2.7088 3.4263 6.2386
F 0.4896 2.3310 6.4402
F 0.4247 1.2543 2.3407
F 2.1729 4.8325 3.9489
F 2.2472 1.5831 0.0010
F 2.8092 4.9345 8.3922
F 2.8835 1.6850 4.4443
F 4.6317 5.2632 6.0525
F 4.5668 4.1866 1.9530

---

Entry 6:
5
Lattice="3.8466 0.0000 0.0000 0.0000 3.8466 0.0000 0.0000 0.0000 5.8504" Properties=species:S:1:pos:R:3 comment="ScRePO2 (GGA-PBE, optimized geometry)" de_polymorph_ev_per_atom=0.7963 formation_energy_uncorrected_kj_per_mol_atoms=-32.8 pbc="T T T"
Sc 0.0000 0.0000 0.0000
Re 1.9233 1.9233 2.9252
P 0.0000 0.0000 2.9252
O 0.0000 1.9233 0.0000
O 1.9233 0.0000 0.0000